The following is a PBE calculation of an optimized crystal structure of Li8Cd3Ga, from Alexandria via LeMat-Bulk.

Geometry as POSCAR:
```
Li8Cd3Ga
1.0
-1.2936 0.8458 -6.9418
-0.4068 -6.5640 2.7064
-4.7033 2.6499 4.6297
Li Cd Ga
8 3 1
Direct
0.4812 0.2149 0.2149
0.5188 0.7336 0.7336
0.0000 0.7851 0.2664
0.0000 0.2664 0.7851
0.2612 0.3628 0.3628
0.7388 0.1016 0.1016
0.0000 0.6372 0.8984
0.0000 0.8984 0.6372
0.5000 0.7500 0.2500
0.5000 0.2500 0.7500
0.0000 0.5000 0.5000
0.0000 0.0000 0.0000
```

**Space group**: I-42m, No. 121
**Magnetization**: 0.000 μB/f.u.
**Energy of formation from the pure elements**: 0.027 eV per atom
**Relative energy among the computed polymorphs**: 0.166 eV/atom
**DOS(E_F)**: 6.2 states/eV/f.u.
**E_tot**: -1.730 eV/atom